Here is NaUCu2I8 after structural relaxation from the Alexandria database. Energies are from GGA-PBE.

Unit cell a=7.400 b=7.908 c=9.228 alpha=67.84 beta=89.00 gamma=81.20
Atoms (fractional coordinates):
1 Na 0.000 0.000 0.000
2 U 0.000 0.000 0.500
3 Cu 0.467 0.378 0.139
4 Cu 0.533 0.622 0.861
5 I 0.126 0.226 0.655
6 I 0.147 0.237 0.200
7 I 0.355 0.752 0.583
8 I 0.390 0.733 0.073
9 I 0.610 0.267 0.927
10 I 0.645 0.248 0.417
11 I 0.853 0.763 0.800
12 I 0.874 0.774 0.345

Properties
V = 493.8 Å³/cell
Crystal system = triclinic
DOS at the Fermi energy = 2.3 states/eV/cell
Symmetry = No. 2
ΔE_f (raw) = -620 meV/atom